Entry from the Alexandria database: an optimized crystal structure of TbSm2Co (PBE).

DOS at the Fermi energy = 1.236 states/eV per atom
Total moment = 0.0 μB/f.u.
E above lowest polymorph = 0 meV/atom
Formation energy from the elements = -43 kJ/mol of formula units

abc: 7.029 9.737 6.268
angles: 90.00 90.00 90.00
Space group Pnma (No. 62)
One atom of each set of equivalent atoms:
1 Tb 0.043 0.250 0.150
2 Sm 0.174 0.070 0.676
3 Co 0.116 0.750 0.448